[1]
# PBE InIr3Rh, relaxed
# energy above the lowest structure with this stoichiometry = 0.0 meV/atom
# energy relative to the elements = 1.637 eV/atom
# crystal system = cubic
data_InIr3Rh
_symmetry_space_group_name_H-M 'P m -3 m'
_symmetry_Int_Tables_number 221
_symmetry_space_group_name_Hall '-P 4 2 3'
_cell_length_a 4.738
_cell_length_b 4.738
_cell_length_c 4.738
_cell_angle_alpha 90.00
_cell_angle_beta 90.00
_cell_angle_gamma 90.00
loop_
_atom_site_label
_atom_site_type_symbol
_atom_site_fract_x
_atom_site_fract_y
_atom_site_fract_z
In1 In 0.000 0.000 0.000
Ir1 Ir 0.000 0.500 0.500
Rh1 Rh 0.500 0.500 0.500

---

[2]
# PBE Tb4AlHg, relaxed
# energy above the lowest structure with this stoichiometry = 0.0 meV/atom
# energy relative to the elements = -0.253 eV/atom
# crystal system = monoclinic
data_Tb4AlHg
_symmetry_space_group_name_H-M 'C 1 2/m 1'
_symmetry_Int_Tables_number 12
_cell_length_a 13.015
_cell_length_b 3.625
_cell_length_c 7.343
_cell_angle_alpha 90.00
_cell_angle_beta 106.31
_cell_angle_gamma 90.00
loop_
_symmetry_equiv_pos_as_xyz
'x,y,z'
'-x,-y,-z'
'-x,y,-z'
'x,-y,z'
'x+1/2,y+1/2,z'
'-x+1/2,-y+1/2,-z'
'-x+1/2,y+1/2,-z'
'x+1/2,-y+1/2,z'
loop_
_atom_site_label
_atom_site_type_symbol
_atom_site_fract_x
_atom_site_fract_y
_atom_site_fract_z
Tb1 Tb 0.150 0.000 0.320
Tb2 Tb 0.151 0.000 0.831
Al1 Al 0.000 0.500 0.000
Hg1 Hg 0.000 0.500 0.500

---

[3]
# PBE Zr2Al4Cu, relaxed
# energy above the lowest structure with this stoichiometry = 167.0 meV/atom
# energy relative to the elements = -0.286 eV/atom
# crystal system = monoclinic
data_Zr2Al4Cu
_symmetry_space_group_name_H-M 'P 1 21 1'
_symmetry_Int_Tables_number 4
_cell_length_a 2.986
_cell_length_b 28.190
_cell_length_c 3.001
_cell_angle_alpha 90.00
_cell_angle_beta 90.02
_cell_angle_gamma 90.00
loop_
_symmetry_equiv_pos_as_xyz
'x,y,z'
'-x,y+1/2,-z'
loop_
_atom_site_label
_atom_site_type_symbol
_atom_site_fract_x
_atom_site_fract_y
_atom_site_fract_z
Zr1 Zr 0.012 0.000 0.496
Zr2 Zr 0.013 0.151 0.495
Al1 Al 0.483 0.832 0.006
Al2 Al 0.487 0.425 0.004
Al3 Al 0.487 0.575 0.004
Al4 Al 0.487 0.725 0.005
Cu1 Cu 0.014 0.279 0.495

---

[4]
# PBE CoSiP, relaxed
# ΔE_f (raw) = -0.48 eV per formula unit
# crystal system = orthorhombic
data_CoSiP
_symmetry_space_group_name_H-M 'P m m 2'
_symmetry_Int_Tables_number 25
_cell_length_a 2.662
_cell_length_b 3.308
_cell_length_c 4.536
_cell_angle_alpha 90.00
_cell_angle_beta 90.00
_cell_angle_gamma 90.00
loop_
_symmetry_equiv_pos_as_xyz
'x,y,z'
'-x,-y,z'
'-x,y,z'
'x,-y,z'
loop_
_atom_site_label
_atom_site_type_symbol
_atom_site_fract_x
_atom_site_fract_y
_atom_site_fract_z
Co1 Co 0.000 0.000 0.000
Si1 Si 0.500 0.500 0.241
P1 P 0.500 0.000 0.612

---

[5]
# PBE Ag3Au13, relaxed
# energy relative to the elements = -0.015 eV/atom
# crystal system = orthorhombic
data_Ag3Au13
_symmetry_space_group_name_H-M 'A m m 2'
_symmetry_Int_Tables_number 38
_cell_length_a 8.049
_cell_length_b 8.468
_cell_length_c 8.467
_cell_angle_alpha 90.00
_cell_angle_beta 90.00
_cell_angle_gamma 90.00
loop_
_symmetry_equiv_pos_as_xyz
'x,y,z'
'-x,-y,z'
'-x,y,z'
'x,-y,z'
'x,y+1/2,z+1/2'
'-x,-y+1/2,z+1/2'
'-x,y+1/2,z+1/2'
'x,-y+1/2,z+1/2'
loop_
_atom_site_label
_atom_site_type_symbol
_atom_site_fract_x
_atom_site_fract_y
_atom_site_fract_z
Ag1 Ag 0.000 0.000 0.000
Ag2 Ag 0.250 0.000 0.249
Au1 Au 0.000 0.000 0.498
Au2 Au 0.000 0.249 0.249
Au3 Au 0.250 0.000 0.750
Au4 Au 0.250 0.250 0.000
Au5 Au 0.500 0.000 0.001
Au6 Au 0.500 0.000 0.498
Au7 Au 0.500 0.249 0.250

---

[6]
# PBE MgCoI, relaxed
# ΔE_f (raw) = 0.28 eV per formula unit
# energy above the lowest structure with this stoichiometry = 342.0 meV/atom
# crystal system = orthorhombic
data_MgCoI
_symmetry_space_group_name_H-M 'P n m a'
_symmetry_Int_Tables_number 62
_cell_length_a 5.121
_cell_length_b 3.593
_cell_length_c 18.292
_cell_angle_alpha 90.00
_cell_angle_beta 90.00
_cell_angle_gamma 90.00
loop_
_symmetry_equiv_pos_as_xyz
'x,y,z'
'-x,-y,-z'
'-x+1/2,-y,z+1/2'
'x+1/2,y,-z+1/2'
'x+1/2,-y+1/2,-z+1/2'
'-x+1/2,y+1/2,z+1/2'
'-x,y+1/2,-z'
'x,-y+1/2,z'
loop_
_atom_site_label
_atom_site_type_symbol
_atom_site_fract_x
_atom_site_fract_y
_atom_site_fract_z
Mg1 Mg 0.110 0.250 0.063
Co1 Co 0.091 0.250 0.471
I1 I 0.238 0.750 0.358

---

[7]
# PBE ReBO2F, relaxed
# ΔE_f (raw) = -1.00 eV per formula unit
# crystal system = tetragonal
data_ReBO2F
_symmetry_space_group_name_H-M 'P 4/m m m'
_symmetry_Int_Tables_number 123
_symmetry_space_group_name_Hall '-P 4 2'
_cell_length_a 3.819
_cell_length_b 3.819
_cell_length_c 4.307
_cell_angle_alpha 90.00
_cell_angle_beta 90.00
_cell_angle_gamma 90.00
loop_
_atom_site_label
_atom_site_type_symbol
_atom_site_fract_x
_atom_site_fract_y
_atom_site_fract_z
Re1 Re 0.000 0.000 0.000
B1 B 0.500 0.500 0.500
O1 O 0.000 0.500 0.000
F1 F 0.000 0.000 0.500

---

[8]
# PBE Sm11Tl9Rh4, relaxed
# energy relative to the elements = -0.541 eV/atom
# crystal system = orthorhombic
data_Sm11Tl9Rh4
_symmetry_space_group_name_H-M 'C m m m'
_symmetry_Int_Tables_number 65
_symmetry_space_group_name_Hall '-C 2 2'
_cell_length_a 14.928
_cell_length_b 22.313
_cell_length_c 3.783
_cell_angle_alpha 90.00
_cell_angle_beta 90.00
_cell_angle_gamma 90.00
loop_
_atom_site_label
_atom_site_type_symbol
_atom_site_fract_x
_atom_site_fract_y
_atom_site_fract_z
Sm1 Sm 0.000 0.000 0.000
Sm2 Sm 0.000 0.163 0.000
Sm3 Sm 0.000 0.374 0.000
Sm4 Sm 0.188 0.500 0.000
Sm5 Sm 0.249 0.168 0.000
Tl1 Tl 0.000 0.500 0.500
Tl2 Tl 0.107 0.262 0.500
Tl3 Tl 0.145 0.072 0.500
Rh1 Rh 0.152 0.399 0.500

---

[9]
# PBE TbCo2PH, relaxed
# crystal system = orthorhombic
data_TbCo2PH
_symmetry_space_group_name_H-M 'C m c m'
_symmetry_Int_Tables_number 63
_symmetry_space_group_name_Hall '-C 2c 2'
_cell_length_a 3.597
_cell_length_b 10.082
_cell_length_c 6.618
_cell_angle_alpha 90.00
_cell_angle_beta 90.00
_cell_angle_gamma 90.00
loop_
_atom_site_label
_atom_site_type_symbol
_atom_site_fract_x
_atom_site_fract_y
_atom_site_fract_z
Tb1 Tb 0.000 0.056 0.250
Co1 Co 0.000 0.332 0.059
P1 P 0.000 0.225 0.750
H1 H 0.000 0.500 0.000

---

[10]
# PBE TiAs2O7, relaxed
# ΔE_f (raw) = -17.01 eV per formula unit
# energy above the lowest structure with this stoichiometry = 0.0 meV/atom
# crystal system = monoclinic
data_TiAs2O7
_symmetry_space_group_name_H-M 'P 1 21/c 1'
_symmetry_Int_Tables_number 14
_cell_length_a 5.239
_cell_length_b 13.181
_cell_length_c 9.854
_cell_angle_alpha 90.00
_cell_angle_beta 120.90
_cell_angle_gamma 90.00
loop_
_symmetry_equiv_pos_as_xyz
'x,y,z'
'-x,-y,-z'
'-x,y+1/2,-z+1/2'
'x,-y+1/2,z+1/2'
loop_
_atom_site_label
_atom_site_type_symbol
_atom_site_fract_x
_atom_site_fract_y
_atom_site_fract_z
Ti1 Ti 0.134 0.152 0.344
As1 As 0.274 0.691 0.560
As2 As 0.383 0.017 0.690
O1 O 0.018 0.180 0.127
O2 O 0.140 0.533 0.237
O3 O 0.180 0.740 0.174
O4 O 0.230 0.116 0.562
O5 O 0.317 0.564 0.629
O6 O 0.400 0.227 0.923
O7 O 0.469 0.072 0.374

---

[11]
# PBE HgMoOs3, relaxed
# energy above the lowest structure with this stoichiometry = 0.0 meV/atom
# energy relative to the elements = 2.200 eV/atom
# crystal system = cubic
data_HgMoOs3
_symmetry_space_group_name_H-M 'P m -3 m'
_symmetry_Int_Tables_number 221
_symmetry_space_group_name_Hall '-P 4 2 3'
_cell_length_a 4.715
_cell_length_b 4.715
_cell_length_c 4.715
_cell_angle_alpha 90.00
_cell_angle_beta 90.00
_cell_angle_gamma 90.00
loop_
_atom_site_label
_atom_site_type_symbol
_atom_site_fract_x
_atom_site_fract_y
_atom_site_fract_z
Hg1 Hg 0.000 0.000 0.000
Mo1 Mo 0.500 0.500 0.500
Os1 Os 0.000 0.500 0.500

---

[12]
# PBE LaCuP2, relaxed
# energy relative to the elements = -0.739 eV/atom
# crystal system = monoclinic
data_LaCuP2
_symmetry_space_group_name_H-M 'P 1 2/m 1'
_symmetry_Int_Tables_number 10
_cell_length_a 4.262
_cell_length_b 3.801
_cell_length_c 5.141
_cell_angle_alpha 90.00
_cell_angle_beta 90.57
_cell_angle_gamma 90.00
loop_
_symmetry_equiv_pos_as_xyz
'x,y,z'
'-x,-y,-z'
'-x,y,-z'
'x,-y,z'
loop_
_atom_site_label
_atom_site_type_symbol
_atom_site_fract_x
_atom_site_fract_y
_atom_site_fract_z
La1 La 0.000 0.000 0.000
Cu1 Cu 0.500 0.000 0.500
P1 P 0.493 0.500 0.777

---

[13]
# PBE Pr3Sm4Cd, relaxed
# energy above the lowest structure with this stoichiometry = 41.9 meV/atom
# energy relative to the elements = -0.027 eV/atom
# crystal system = orthorhombic
data_Pr3Sm4Cd
_symmetry_space_group_name_H-M 'P m n 21'
_symmetry_Int_Tables_number 31
_cell_length_a 11.487
_cell_length_b 7.074
_cell_length_c 6.539
_cell_angle_alpha 90.00
_cell_angle_beta 90.00
_cell_angle_gamma 90.00
loop_
_symmetry_equiv_pos_as_xyz
'x,y,z'
'-x+1/2,-y,z+1/2'
'-x,y,z'
'x+1/2,-y,z+1/2'
loop_
_atom_site_label
_atom_site_type_symbol
_atom_site_fract_x
_atom_site_fract_y
_atom_site_fract_z
Pr1 Pr 0.000 0.172 0.000
Pr2 Pr 0.228 0.584 0.782
Sm1 Sm 0.000 0.351 0.499
Sm2 Sm 0.000 0.857 0.562
Sm3 Sm 0.235 0.897 0.201
Cd1 Cd 0.000 0.650 0.087

---

[14]
# PBE Al2ZnGa8, relaxed
# energy above the lowest structure with this stoichiometry = 22.8 meV/atom
# energy relative to the elements = 0.070 eV/atom
# crystal system = tetragonal
data_Al2ZnGa8
_symmetry_space_group_name_H-M 'P 4/m m m'
_symmetry_Int_Tables_number 123
_symmetry_space_group_name_Hall '-P 4 2'
_cell_length_a 4.653
_cell_length_b 4.653
_cell_length_c 9.494
_cell_angle_alpha 90.00
_cell_angle_beta 90.00
_cell_angle_gamma 90.00
loop_
_atom_site_label
_atom_site_type_symbol
_atom_site_fract_x
_atom_site_fract_y
_atom_site_fract_z
Al1 Al 0.000 0.000 0.165
Zn1 Zn 0.000 0.000 0.500
Ga1 Ga 0.000 0.500 0.000
Ga2 Ga 0.000 0.500 0.351
Ga3 Ga 0.500 0.500 0.181

---

[15]
# PBE CrMo2Ir, relaxed
# energy above the lowest structure with this stoichiometry = 36.5 meV/atom
# energy relative to the elements = 0.052 eV/atom
# crystal system = monoclinic
data_CrMo2Ir
_symmetry_space_group_name_H-M 'C 1 m 1'
_symmetry_Int_Tables_number 8
_cell_length_a 9.138
_cell_length_b 2.712
_cell_length_c 4.796
_cell_angle_alpha 90.00
_cell_angle_beta 99.22
_cell_angle_gamma 90.00
loop_
_symmetry_equiv_pos_as_xyz
'x,y,z'
'x,-y,z'
'x+1/2,y+1/2,z'
'x+1/2,-y+1/2,z'
loop_
_atom_site_label
_atom_site_type_symbol
_atom_site_fract_x
_atom_site_fract_y
_atom_site_fract_z
Cr1 Cr 0.000 0.000 0.000
Mo1 Mo 0.020 0.500 0.516
Mo2 Mo 0.256 0.500 0.238
Ir1 Ir 0.267 0.000 0.756

---

[16]
# PBE LiPd2Au8, relaxed
# energy relative to the elements = -0.113 eV/atom
# crystal system = orthorhombic
data_LiPd2Au8
_symmetry_space_group_name_H-M 'I m m m'
_symmetry_Int_Tables_number 71
_symmetry_space_group_name_Hall '-I 2 2'
_cell_length_a 4.159
_cell_length_b 7.646
_cell_length_c 12.373
_cell_angle_alpha 90.00
_cell_angle_beta 90.00
_cell_angle_gamma 90.00
loop_
_atom_site_label
_atom_site_type_symbol
_atom_site_fract_x
_atom_site_fract_y
_atom_site_fract_z
Li1 Li 0.000 0.000 0.000
Pd1 Pd 0.000 0.000 0.323
Au1 Au 0.000 0.219 0.500
Au2 Au 0.000 0.260 0.159
Au3 Au 0.000 0.500 0.345

---

[17]
# PBE SrAsWBr2, relaxed
# ΔE_f (raw) = -1.08 eV per formula unit
# energy above the lowest structure with this stoichiometry = 0.0 meV/atom
# crystal system = tetragonal
data_SrAsWBr2
_symmetry_space_group_name_H-M 'P 4/m m m'
_symmetry_Int_Tables_number 123
_symmetry_space_group_name_Hall '-P 4 2'
_cell_length_a 5.287
_cell_length_b 5.287
_cell_length_c 4.944
_cell_angle_alpha 90.00
_cell_angle_beta 90.00
_cell_angle_gamma 90.00
loop_
_atom_site_label
_atom_site_type_symbol
_atom_site_fract_x
_atom_site_fract_y
_atom_site_fract_z
Sr1 Sr 0.000 0.000 0.000
As1 As 0.500 0.500 0.000
W1 W 0.500 0.500 0.500
Br1 Br 0.000 0.500 0.500

---

[18]
# PBE ScPaFeRh, relaxed
# energy relative to the elements = -0.379 eV/atom
# crystal system = cubic
data_ScPaFeRh
_symmetry_space_group_name_H-M 'F -4 3 m'
_symmetry_Int_Tables_number 216
_symmetry_space_group_name_Hall 'F -4 2 3'
_cell_length_a 6.620
_cell_length_b 6.620
_cell_length_c 6.620
_cell_angle_alpha 90.00
_cell_angle_beta 90.00
_cell_angle_gamma 90.00
loop_
_atom_site_label
_atom_site_type_symbol
_atom_site_fract_x
_atom_site_fract_y
_atom_site_fract_z
Sc1 Sc 0.000 0.000 0.000
Pa1 Pa 0.000 0.000 0.500
Fe1 Fe 0.250 0.250 0.750
Rh1 Rh 0.250 0.250 0.250

---

[19]
# PBE Pr2MgAs, relaxed
# energy above the lowest structure with this stoichiometry = 256.4 meV/atom
# energy relative to the elements = -0.385 eV/atom
# crystal system = trigonal
data_Pr2MgAs
_symmetry_space_group_name_H-M 'R -3 m'
_symmetry_Int_Tables_number 166
_symmetry_space_group_name_Hall '-R 3 2"'
_cell_length_a 4.0074
_cell_length_b 4.0074
_cell_length_c 31.5610
_cell_angle_alpha 90.00
_cell_angle_beta 90.00
_cell_angle_gamma 120.00
loop_
_atom_site_label
_atom_site_type_symbol
_atom_site_fract_x
_atom_site_fract_y
_atom_site_fract_z
Pr1 Pr 0.0000 0.0000 0.1110
Mg1 Mg 0.0000 0.0000 0.0000
As1 As 0.0000 0.0000 0.5000

---

[20]
# PBE La2DyHo6Tm3, relaxed
# energy relative to the elements = 0.027 eV/atom
# crystal system = monoclinic
data_La2DyHo6Tm3
_symmetry_space_group_name_H-M 'C 1 2/m 1'
_symmetry_Int_Tables_number 12
_cell_length_a 6.163
_cell_length_b 10.671
_cell_length_c 11.768
_cell_angle_alpha 90.00
_cell_angle_beta 100.04
_cell_angle_gamma 90.00
loop_
_symmetry_equiv_pos_as_xyz
'x,y,z'
'-x,-y,-z'
'-x,y,-z'
'x,-y,z'
'x+1/2,y+1/2,z'
'-x+1/2,-y+1/2,-z'
'-x+1/2,y+1/2,-z'
'x+1/2,-y+1/2,z'
loop_
_atom_site_label
_atom_site_type_symbol
_atom_site_fract_x
_atom_site_fract_y
_atom_site_fract_z
La1 La 0.000 0.166 0.000
Dy1 Dy 0.000 0.500 0.000
Ho1 Ho 0.246 0.500 0.744
Ho2 Ho 0.248 0.166 0.744
Tm1 Tm 0.000 0.000 0.500
Tm2 Tm 0.000 0.334 0.500

---

Computed magnetic moment, in the same sequence as the records: 0.0, 1.6, 0.0, 0.0, 0.0, 1.2, 0.0, 0.0, 0.0, 0.0, 0.0, 0.0, 0.0, 0.0, 0.0, 0.0, 1.7, 0.6, 0.0, 0.0 μB/f.u..
Computed total DFT energy (no corrections), in the same sequence as the records: -5.70, -4.01, -5.45, -6.14, -3.21, -3.32, -6.38, -4.82, -6.28, -6.89, -6.76, -5.70, -4.29, -2.93, -9.98, -3.62, -4.74, -8.29, -4.34, -4.58 eV/atom.
Computed ρ, in the same sequence as the records: 12402, 8622, 4654, 4906, 16598, 4147, 6556, 10291, 8547, 3523, 13736, 5272, 7103, 5471, 12345, 15157, 6082, 9953, 4324, 8440 kg/m3.